Record 1
NbGeIr after structural relaxation, computed with PBE.

abc: 5.171 4.168 9.172
angles: 90.00 90.00 90.00
Fractional positions:
Ge1 0.879 0.250 0.855
Ge2 0.121 0.750 0.145
Ge3 0.379 0.250 0.645
Ge4 0.621 0.750 0.355
Nb1 0.718 0.750 0.664
Nb2 0.782 0.250 0.164
Nb3 0.218 0.750 0.836
Nb4 0.282 0.250 0.336
Ir1 0.324 0.250 0.027
Ir2 0.176 0.750 0.527
Ir3 0.676 0.750 0.973
Ir4 0.824 0.250 0.473

Summary:
Space-group type: Pnma, No. 62

***

Record 2
NbGeIr2 after structural relaxation, computed with PBE.

abc: 4.458 4.458 4.458
angles: 60.00 60.00 60.00
Fractional positions:
Ir1 0.000 0.000 0.000
Ir2 0.750 0.750 0.750
Ge1 0.500 0.500 0.500
Nb1 0.250 0.250 0.250

Summary:
Space-group type: F-43m, No. 216

***

Record 3
NbGeIr after structural relaxation, computed with PBE.

abc: 4.296 4.296 6.236
angles: 90.00 90.00 120.00
Fractional positions:
Ir1 0.667 0.333 0.563
Ir2 0.333 0.667 0.063
Nb1 0.000 0.000 0.219
Nb2 0.000 0.000 0.719
Ge1 0.333 0.667 0.468
Ge2 0.667 0.333 0.968

Summary:
Space-group type: P6_3mc, No. 186

***

Record 4
NbGe2Ir after structural relaxation, computed with PBE.

abc: 4.537 4.537 4.537
angles: 60.00 60.00 60.00
Fractional positions:
Ir1 0.500 0.500 0.500
Ge1 0.000 0.000 0.000
Ge2 0.250 0.250 0.250
Nb1 0.750 0.750 0.750

Summary:
Space-group type: F-43m, No. 216

***

Record 5
Nb2SnGeIr2 after structural relaxation, computed with PBE.

abc: 10.624 4.335 10.638
angles: 90.00 109.47 90.00
Fractional positions:
Nb1 0.128 0.500 0.620
Nb2 0.878 0.500 0.882
Nb3 0.623 0.500 0.125
Nb4 0.502 0.000 0.750
Nb5 0.250 0.000 0.006
Nb6 0.746 0.000 0.496
Nb7 0.002 0.000 0.250
Nb8 0.372 0.500 0.372
Ir1 0.002 0.000 0.008
Ir2 0.373 0.500 0.129
Ir3 0.129 0.500 0.373
Ir4 0.743 0.000 0.244
Ir5 0.252 0.000 0.743
Ir6 0.494 0.000 0.494
Ir7 0.874 0.500 0.624
Ir8 0.632 0.500 0.881
Sn1 0.875 0.500 0.373
Sn2 0.002 0.000 0.752
Sn3 0.375 0.500 0.876
Sn4 0.624 0.500 0.625
Ge1 0.125 0.500 0.126
Ge2 0.250 0.000 0.498
Ge3 0.498 0.000 0.249
Ge4 0.751 0.000 0.002

Summary:
Space-group type: Pm, No. 6

***

Record 6
TaNbGe2Ir2 after structural relaxation, computed with PBE.

abc: 8.517 4.258 12.773
angles: 90.00 109.47 90.00
Fractional positions:
Ta1 0.937 0.500 0.875
Ta2 0.062 0.000 0.625
Ta3 0.313 0.000 0.125
Ta4 0.812 0.000 0.125
Nb1 0.562 0.000 0.625
Nb2 0.188 0.500 0.375
Nb3 0.687 0.500 0.375
Nb4 0.438 0.500 0.875
Ge1 0.687 0.000 0.875
Ge2 0.563 0.500 0.125
Ge3 0.063 0.500 0.125
Ge4 0.812 0.500 0.625
Ge5 0.938 0.000 0.375
Ge6 0.188 0.000 0.875
Ge7 0.313 0.500 0.625
Ge8 0.438 0.000 0.375
Ir1 0.250 0.000 0.500
Ir2 0.626 0.500 0.750
Ir3 0.124 0.500 0.750
Ir4 0.875 0.500 0.250
Ir5 0.000 0.000 0.000
Ir6 0.375 0.500 0.250
Ir7 0.751 0.000 0.500
Ir8 0.500 0.000 0.000

Summary:
Space-group type: Pm, No. 6

***

Record 7
Nd3Ge13Ir4 after structural relaxation, computed with PBE.

abc: 9.136 9.136 9.136
angles: 90.00 90.00 90.00
Fractional positions:
Ge1 0.802 0.355 0.500
Ge2 0.355 0.500 0.198
Ge3 0.855 0.302 0.000
Ge4 0.198 0.645 0.500
Ge5 0.000 0.145 0.698
Ge6 0.698 0.000 0.855
Ge7 0.145 0.698 0.000
Ge8 0.000 0.855 0.302
Ge9 0.145 0.302 0.000
Ge10 0.500 0.802 0.645
Ge11 0.000 0.000 0.000
Ge12 0.302 0.000 0.855
Ge13 0.500 0.198 0.355
Ge14 0.855 0.698 0.000
Ge15 0.645 0.500 0.802
Ge16 0.645 0.500 0.198
Ge17 0.302 0.000 0.145
Ge18 0.500 0.198 0.645
Ge19 0.198 0.355 0.500
Ge20 0.802 0.645 0.500
Ge21 0.500 0.500 0.500
Ge22 0.000 0.145 0.302
Ge23 0.698 0.000 0.145
Ge24 0.500 0.802 0.355
Ge25 0.355 0.500 0.802
Ge26 0.000 0.855 0.698
Ir1 0.750 0.750 0.250
Ir2 0.250 0.250 0.250
Ir3 0.750 0.250 0.250
Ir4 0.250 0.750 0.250
Ir5 0.750 0.250 0.750
Ir6 0.250 0.250 0.750
Ir7 0.750 0.750 0.750
Ir8 0.250 0.750 0.750
Nd1 0.000 0.500 0.750
Nd2 0.500 0.250 0.000
Nd3 0.250 0.000 0.500
Nd4 0.000 0.500 0.250
Nd5 0.500 0.750 0.000
Nd6 0.750 0.000 0.500

Summary:
Space-group type: Pm-3n, No. 223

***

Record 8
NdGeIr after structural relaxation, computed with PBE.

abc: 4.570 4.570 4.570
angles: 60.00 60.00 60.00
Fractional positions:
Ir1 0.250 0.250 0.250
Ge1 0.000 0.000 0.000
Nd1 0.750 0.750 0.750

Summary:
Space-group type: F-43m, No. 216

***

E: -24.5; -32.7; -24.9; -28.0; -49.8; -52.5; -120.0; -18.8 (eV/f.u.)